(1)
# Y2Cd2Pd

A relaxed structure of Y2Cd2Pd (PBE-GGA, Alexandria via LeMat-Bulk).

Computed properties:
Energy relative to the elements: -0.33 eV per atom
Magnetization: 0.00 μB per formula unit
Excess energy over the best structure of this formula in the dataset: 0.000 eV/atom

Lattice parameters (Å, degrees): 7.322 7.322 4.595 90.00 90.00 90.00
Space group P4/mbm (No. 127)
One atom of each set of equivalent atoms:
Y 0.171 0.329 0.000 (multiplicity 4)
Cd 0.136 0.636 0.500 (multiplicity 4)
Pd 0.000 0.000 0.500 (multiplicity 2)

---

(2)
# YCd2Pd2

A relaxed structure of YCd2Pd2 (PBE-GGA, Alexandria via LeMat-Bulk).

Computed properties:
Energy relative to the elements: -0.54 eV per atom
Magnetization: 0.00 μB per formula unit
Excess energy over the best structure of this formula in the dataset: 0.009 eV/atom

Lattice parameters (Å, degrees): 4.7710 4.7710 5.5517 90.00 90.00 120.00
Space group P-3m1 (No. 164)
One atom of each set of equivalent atoms:
Y 0.0000 0.0000 0.0000 (multiplicity 1)
Cd 0.3333 0.6667 0.6388 (multiplicity 2)
Pd 0.3333 0.6667 0.1453 (multiplicity 2)

---

(3)
# Y3Cd2Pd3

A relaxed structure of Y3Cd2Pd3 (PBE-GGA, Alexandria via LeMat-Bulk).

Computed properties:
Energy relative to the elements: -0.69 eV per atom
Magnetization: 0.00 μB per formula unit

Lattice parameters (Å, degrees): 8.4653 8.4653 5.7846 90.00 90.00 120.00
Space group P6_3/mcm (No. 193)
One atom of each set of equivalent atoms:
Y 0.0000 0.2716 0.2500 (multiplicity 6)
Cd 0.3333 0.6667 0.0000 (multiplicity 4)
Pd 0.0000 0.3864 0.7500 (multiplicity 6)